(1)
## RbTaI2O8 (GGA-PBE)

Data for crystalline RbTaI2O8 at its relaxed geometry.

a b c (Å): 6.5306 6.5306 6.6106
angles (deg): 107.91 107.91 50.96
Closest atoms and distances in Å follow each position.
Fractional coordinates of all 12 atoms:
Rb 0.0000 0.0000 0.0000  6 O 2.75-3.08
Ta 0.5000 0.5000 0.5000  6 O 1.95-2.04
I 0.2217 0.2217 0.6789  3 O 1.80-1.95
I 0.7783 0.7783 0.3211  3 O 1.80-1.95
O 0.1378 0.6452 0.3078  1 I 1.95, 1 Ta 2.04
O 0.1831 0.1831 0.3916  1 I 1.80
O 0.3548 0.8622 0.6922  1 I 1.95, 1 Ta 2.04
O 0.4070 0.4070 0.6938  1 Ta 1.95, 1 I 2.15
O 0.5930 0.5930 0.3062  1 Ta 1.95, 1 I 2.15
O 0.6452 0.1378 0.3078  1 I 1.95, 1 Ta 2.04
O 0.8169 0.8169 0.6084  1 I 1.80
O 0.8622 0.3548 0.6922  1 I 1.95, 1 Ta 2.04

Calculated values
SG = No. 12
Formation energy (no corrections) = -1165.4 meV/atom



(2)
## CsCuSn2 (GGA-PBE)

Data for crystalline CsCuSn2 at its relaxed geometry.

a b c (Å): 7.7701 7.7701 7.7701
angles (deg): 90.00 90.00 90.00
Closest atoms and distances in Å follow each position.
Fractional coordinates of all 16 atoms:
Cs 0.0000 0.0000 0.0000  8 Sn 3.36
Cs 0.0000 0.5000 0.5000  8 Sn 3.36
Cs 0.5000 0.0000 0.5000  8 Sn 3.36
Cs 0.5000 0.5000 0.0000  8 Sn 3.36
Cu 0.0000 0.0000 0.5000  8 Sn 3.36
Cu 0.0000 0.5000 0.0000  8 Sn 3.36
Cu 0.5000 0.0000 0.0000  8 Sn 3.36
Cu 0.5000 0.5000 0.5000  8 Sn 3.36
Sn 0.2500 0.2500 0.2500  4 Cu 3.36, 4 Cs 3.36
Sn 0.2500 0.2500 0.7500  4 Cu 3.36, 4 Cs 3.36
Sn 0.2500 0.7500 0.2500  4 Cu 3.36, 4 Cs 3.36
Sn 0.2500 0.7500 0.7500  4 Cu 3.36, 4 Cs 3.36
Sn 0.7500 0.2500 0.2500  4 Cu 3.36, 4 Cs 3.36
Sn 0.7500 0.2500 0.7500  4 Cu 3.36, 4 Cs 3.36
Sn 0.7500 0.7500 0.2500  4 Cu 3.36, 4 Cs 3.36
Sn 0.7500 0.7500 0.7500  4 Cu 3.36, 4 Cs 3.36

Calculated values
Energy relative to the elements = 535.9 meV per atom
SG = No. 225



(3)
## TcHg3 (GGA-PBE)

Data for crystalline TcHg3 at its relaxed geometry.

a b c (Å): 6.0216 6.0216 5.0904
angles (deg): 90.00 90.00 120.00
Closest atoms and distances in Å follow each position.
Fractional coordinates of all 8 atoms:
Tc 0.3333 0.6667 0.2500  12 Hg 3.01-3.06
Tc 0.6667 0.3333 0.7500  12 Hg 3.01-3.06
Hg 0.1706 0.3411 0.7500  8 Hg 2.94-3.11, 4 Tc 3.01-3.06
Hg 0.1706 0.8294 0.7500  8 Hg 2.94-3.11, 4 Tc 3.01-3.06
Hg 0.3411 0.1706 0.2500  8 Hg 2.94-3.11, 4 Tc 3.01-3.06
Hg 0.6589 0.8294 0.7500  8 Hg 2.94-3.11, 4 Tc 3.01-3.06
Hg 0.8294 0.1706 0.2500  8 Hg 2.94-3.11, 4 Tc 3.01-3.06
Hg 0.8294 0.6589 0.2500  8 Hg 2.94-3.11, 4 Tc 3.01-3.06

Calculated values
Energy relative to the elements = 619.9 meV per atom
Distance to the lowest polymorph of the same formula = 1.111 eV per formula unit
SG = No. 194



(4)
## Mg7Si4 (GGA-PBE)

Data for crystalline Mg7Si4 at its relaxed geometry.

a b c (Å): 4.2465 6.2638 17.1049
angles (deg): 81.66 87.31 89.98
Closest atoms and distances in Å follow each position.
Fractional coordinates of all 22 atoms:
Mg 0.0000 0.0000 0.0000  3 Si 2.78-2.79, 2 Mg 3.06-3.09
Mg 0.0011 0.4941 0.9978  3 Si 2.80-2.84, 1 Mg 3.09
Mg 0.0477 0.5667 0.8000  4 Si 2.74-2.76, 1 Mg 3.06
Mg 0.0502 0.0837 0.7457  6 Si 2.85-3.11
Mg 0.4213 0.4615 0.4365  2 Si 2.81-2.82, 5 Mg 3.03-3.09
Mg 0.4234 0.9570 0.4319  1 Si 2.81, 5 Mg 3.03-3.09
Mg 0.4596 0.9969 0.2369  4 Si 2.75-2.88
Mg 0.5211 0.2737 0.8922  1 Si 2.78, 3 Mg 3.02-3.11
Mg 0.5243 0.7923 0.8905  2 Si 2.72-2.83, 1 Mg 3.02
Mg 0.9015 0.6522 0.5692  5 Si 2.88-3.20, 1 Mg 3.20
Mg 0.9029 0.1723 0.5257  4 Si 2.73-2.78, 2 Mg 3.05-3.06
Mg 0.9414 0.7390 0.3446  2 Si 2.81-2.83, 8 Mg 3.03-3.14
Mg 0.9445 0.2566 0.3241  2 Si 2.87-2.88, 4 Mg 3.09-3.21
Mg 0.9721 0.7180 0.1619  7 Si 2.83-2.97, 4 Mg 3.06-3.14
Si 0.3932 0.3377 0.6013  2 Si 2.40-2.48
Si 0.3942 0.9435 0.5971  2 Si 2.40-2.48
Si 0.4531 0.5518 0.2697  1 Si 2.46
Si 0.4748 0.3966 0.1457  4 Si 2.43-2.51
Si 0.4915 0.7272 0.0517  1 Si 2.43
Si 0.5581 0.3934 0.7290  2 Si 2.40-2.47
Si 0.5617 0.7889 0.7252  2 Si 2.40-2.47
Si 0.9760 0.1882 0.1377  2 Si 2.51, 1 Mg 2.78

Calculated values
Distance to the lowest polymorph of the same formula = 0.345 eV per formula unit
SG = No. 1
Formation energy (no corrections) = 47.5 meV/atom



(5)
## TlAgHgF6 (GGA-PBE)

Data for crystalline TlAgHgF6 at its relaxed geometry.

a b c (Å): 5.3175 5.3175 11.0944
angles (deg): 90.00 90.00 90.00
Closest atoms and distances in Å follow each position.
Fractional coordinates of all 18 atoms:
Tl 0.0000 0.0000 0.0000  6 F 2.20-2.24
Tl 0.5000 0.5000 0.5000  6 F 2.20-2.24
Ag 0.0000 0.0000 0.6657  6 F 2.36-2.50
Ag 0.5000 0.5000 0.1657  6 F 2.36-2.50
Hg 0.0000 0.0000 0.3319  6 F 2.30-2.39
Hg 0.5000 0.5000 0.8319  6 F 2.30-2.39
F 0.1863 0.1863 0.1575  1 Tl 2.24, 1 Ag 2.36, 1 Hg 2.39
F 0.1951 0.1951 0.8479  1 Tl 2.24, 1 Hg 2.30, 1 Ag 2.50
F 0.2079 0.2079 0.4933  1 Tl 2.20, 1 Hg 2.38
F 0.2921 0.7079 0.9933  1 Tl 2.20, 1 Hg 2.38
F 0.3049 0.6951 0.3479  1 Tl 2.24, 1 Hg 2.30, 1 Ag 2.50
F 0.3137 0.6863 0.6575  1 Tl 2.24, 1 Ag 2.36, 1 Hg 2.39
F 0.6863 0.3137 0.6575  1 Tl 2.24, 1 Ag 2.36, 1 Hg 2.39
F 0.6951 0.3049 0.3479  1 Tl 2.24, 1 Hg 2.30, 1 Ag 2.50
F 0.7079 0.2921 0.9933  1 Tl 2.20, 1 Hg 2.38
F 0.7921 0.7921 0.4933  1 Tl 2.20, 1 Hg 2.38
F 0.8049 0.8049 0.8479  1 Tl 2.24, 1 Hg 2.30, 1 Ag 2.50
F 0.8137 0.8137 0.1575  1 Tl 2.24, 1 Ag 2.36, 1 Hg 2.39

Calculated values
SG = No. 102
Formation energy (no corrections) = -1515.2 meV/atom



(6)
## Li2Sm2PaN4 (GGA-PBE)

Data for crystalline Li2Sm2PaN4 at its relaxed geometry.

a b c (Å): 6.4122 6.4122 5.9755
angles (deg): 108.19 108.19 31.02
Closest atoms and distances in Å follow each position.
Fractional coordinates of all 9 atoms:
Li 0.1884 0.1884 0.0034  4 N 2.00-2.14
Li 0.8116 0.8116 0.9966  4 N 2.00-2.14
Sm 0.3587 0.3587 0.4324  5 N 2.46-2.69, 1 Li 2.74
Sm 0.6413 0.6413 0.5676  5 N 2.46-2.69, 1 Li 2.74
Pa 0.5000 0.5000 0.0000  6 N 2.32-2.45
N 0.0311 0.0311 0.7666  1 Li 2.00
N 0.2941 0.2941 0.7812  3 Li 2.11-2.14
N 0.7059 0.7059 0.2188  3 Li 2.11-2.14
N 0.9689 0.9689 0.2334  1 Li 2.00

Calculated values
SG = No. 12
Formation energy (no corrections) = -1045.2 meV/atom



| no. | total energy (eV/atom) | DOS at the Fermi energy (states/eV per cell) |
| --- | --- | --- |
| 1 | -5.798 | 0.0 |
| 2 | -2.703 | 3.0 |
| 3 | -2.198 | 6.1 |
| 4 | -2.939 | 7.4 |
| 5 | -3.376 | 6.7 |
| 6 | -7.274 | 3.6 |